[1]
The following is a DFT calculation (PBE-GGA) of a geometry-optimized CaAcBiN structure.

Cell: 4.909 4.909 9.250 Å, 90.00 90.00 90.00°
Fractional coordinates of all 8 atoms:
Ac: 0.000 0.500 0.183
Ac: 0.500 0.000 0.817
Ca: 0.500 0.500 0.500
Ca: 0.000 0.000 0.500
N: 0.500 0.000 0.573
N: 0.000 0.500 0.427
Bi: 0.500 0.000 0.211
Bi: 0.000 0.500 0.789

Values from the calculation:
Formation energy from raw total energies   -331 kJ/mol of formula units
Symmetry   P4/nmm, No. 129

***

[2]
The following is a DFT calculation (PBE-GGA) of a geometry-optimized SrLiH3 structure.

Cell: 7.321 7.321 5.160 Å, 90.00 90.00 148.49°
Fractional coordinates of all 10 atoms:
Li: 0.543 0.457 0.750
Li: 0.457 0.543 0.250
H: 0.000 0.000 0.500
H: 0.053 0.731 0.750
H: 0.000 0.000 0.000
H: 0.269 0.947 0.750
H: 0.947 0.269 0.250
H: 0.731 0.053 0.250
Sr: 0.848 0.152 0.750
Sr: 0.152 0.848 0.250

Values from the calculation:
Symmetry   Cmcm, No. 63
Total energy   -2.758 eV/atom

***

[3]
The following is a DFT calculation (PBE-GGA) of a geometry-optimized CsRb2Os structure.

Cell: 6.147 6.147 6.147 Å, 60.00 60.00 60.00°
Fractional coordinates of all 4 atoms:
Rb: 0.250 0.250 0.250
Rb: 0.750 0.750 0.750
Cs: 0.000 0.000 0.000
Os: 0.500 0.500 0.500

Values from the calculation:
Symmetry   Fm-3m, No. 225
Energy of formation   1.401 eV per atom

***

no.,calculated volume (Å³/f.u.),DOS at the Fermi energy (states/eV per cell)
1,111.4,6.3
2,72.3,1.0
3,164.3,7.0